Record 1
V12Sn3Sb (PBE, relaxed); raw formation energy = -107 meV/atom; total magnetization = 0.00 μB per formula unit
1.0
4.9613 0.0000 0.0000
0.0000 4.9620 0.0000
0.0000 0.0000 9.8888
Sn V Sb
3 12 1
direct
0.5000 0.5000 0.7498
0.0000 0.0000 0.0000
0.5000 0.5000 0.2502
0.2479 0.5000 0.0000
0.5000 0.0000 0.1239
0.7546 0.5000 0.5000
0.0000 0.7504 0.7485
0.2454 0.5000 0.5000
0.5000 0.0000 0.3759
0.5000 0.0000 0.6241
0.0000 0.2496 0.7485
0.0000 0.2496 0.2515
0.0000 0.7504 0.2515
0.5000 0.0000 0.8761
0.7521 0.5000 0.0000
0.0000 0.0000 0.5000

Record 2
KVICl4 (PBE, relaxed); raw formation energy = -1201 meV/atom; total magnetization = 2.02 μB per formula unit
1.0
8.6111 0.2620 -0.1980
3.0995 8.0382 -0.1980
2.1334 1.5121 8.5752
Cl I K V
8 2 2 2
direct
0.4974 0.1291 0.1364
0.5026 0.8709 0.8636
0.5115 0.5115 0.6992
0.8709 0.5026 0.8636
0.7694 0.7694 0.4927
0.4885 0.4885 0.3008
0.2306 0.2306 0.5073
0.1291 0.4974 0.1364
0.9740 0.9740 0.8657
0.0260 0.0260 0.1343
0.2824 0.2824 0.8395
0.7176 0.7176 0.1605
0.3384 0.3384 0.2772
0.6616 0.6616 0.7228

Record 3
CdInBr3 (PBE, relaxed); raw formation energy = -775 meV/atom; total magnetization = 0.00 μB per formula unit
1.0
-0.1789 2.2980 -3.4901
-9.7582 -1.4141 -0.4308
-2.2381 12.8346 8.5654
Br In Cd
12 4 4
direct
0.7500 0.7174 0.2893
0.2500 0.6676 0.5081
0.7500 0.4826 0.8965
0.2500 0.5174 0.1035
0.2500 0.0174 0.3965
0.2500 0.7826 0.7893
0.2500 0.1676 0.9919
0.7500 0.3324 0.4919
0.7500 0.9826 0.6035
0.2500 0.2826 0.7107
0.7500 0.2174 0.2107
0.7500 0.8324 0.0081
0.2500 0.9814 0.1749
0.2500 0.4814 0.3251
0.7500 0.5186 0.6749
0.7500 0.0186 0.8251
0.7500 0.8334 0.4484
0.2500 0.1666 0.5516
0.7500 0.3334 0.0516
0.2500 0.6666 0.9484

Record 4
Sc3NbF (PBE, relaxed); raw formation energy = 368 meV/atom; total magnetization = 0.00 μB per formula unit
1.0
-5.1112 -0.1069 -0.6441
0.3215 -4.8365 -1.7479
-0.5683 -1.7740 4.8042
Sc F Nb
3 1 1
direct
0.0000 0.0000 0.5000
0.0000 0.5000 0.0000
0.5000 0.0000 0.0000
0.5000 0.5000 0.5000
0.0000 0.0000 0.0000

Record 5
SiGe2F2 (PBE, relaxed); raw formation energy = -785 meV/atom; total magnetization = 0.00 μB per formula unit
1.0
-4.9678 4.7507 3.2130
-5.5034 -5.1449 -0.9019
0.5880 -1.0641 2.4824
Ge F Si
4 4 2
direct
0.7642 0.7358 0.0000
0.2642 0.7642 0.0000
0.2358 0.2642 0.0000
0.7358 0.2358 0.0000
0.3811 0.1189 0.5000
0.6189 0.8811 0.5000
0.8811 0.3811 0.5000
0.1189 0.6189 0.5000
0.5000 0.5000 0.0000
0.0000 0.0000 0.0000

Record 6
SiAgSb2 (PBE, relaxed); raw formation energy = 367 meV/atom; total magnetization = 0.00 μB per formula unit
1.0
-2.0972 -2.1985 -1.5193
-1.1880 -0.9630 3.0334
-5.4220 5.4451 -0.3949
Si Sb Ag
1 2 1
direct
0.5000 0.5000 0.2500
0.0000 0.0000 0.4835
0.0000 0.0000 0.0165
0.5000 0.5000 0.7500

Record 7
BaNiCl2 (PBE, relaxed); raw formation energy = -821 meV/atom; total magnetization = 0.62 μB per formula unit
1.0
-5.1983 3.5766 -0.1140
-5.0063 -1.1594 3.6633
6.2738 0.5630 0.3870
Cl Ba Ni
2 1 1
direct
0.7500 0.2500 0.5000
0.0000 0.0000 0.0000
0.2500 0.7500 0.5000
0.5000 0.5000 0.0000

Record 8
Li2YZrTl (PBE, relaxed); energy of formation = 1068 meV per atom; total magnetization = 0.54 μB per formula unit
1.0
4.8098 0.0000 0.0000
0.0000 5.5791 0.0000
0.0000 0.0000 4.8098
Y Li Zr Tl
1 2 1 1
direct
0.0000 0.0000 0.0000
0.0000 0.0000 0.5000
0.5000 0.0000 0.0000
0.5000 0.5000 0.5000
0.0000 0.5000 0.0000

Record 9
Cr2FePd (PBE, relaxed); energy of formation = 624 meV per atom; total magnetization = 2.04 μB per formula unit
1.0
-1.8448 2.9849 -0.4897
-1.8545 -0.6630 2.9451
4.0166 5.5549 5.9109
Fe Pd Cr
2 2 4
direct
0.5000 0.5000 0.0000
0.2500 0.7500 0.5000
0.0000 0.0000 0.0000
0.7500 0.2500 0.5000
0.1735 0.6250 0.2500
0.5765 0.1250 0.2500
0.8750 0.8265 0.7500
0.3750 0.4235 0.7500

Record 10
Ba2Ge4Rh3 (PBE, relaxed); energy of formation = -507 meV per atom; total magnetization = 0.00 μB per formula unit
1.0
5.9484 -0.1474 0.0000
-2.8951 5.1985 0.0000
-1.5267 -2.5255 6.7398
Rh Ge Ba
3 4 2
direct
0.5000 0.0000 0.0000
0.0000 0.5000 0.0000
0.0000 0.0000 0.0000
0.6922 0.0346 0.7268
0.3078 0.9654 0.2732
0.9654 0.3078 0.2732
0.0346 0.6922 0.7268
0.3616 0.3616 0.7232
0.6384 0.6384 0.2768